# Li5Mn (PBE-GGA, optimized geometry)
data_Li5Mn
_space_group_name_H-M_alt 'P 6/m m m'
_space_group_IT_number 191
_space_group_name_Hall '-P 6 2'
_cell_length_a 5.2533
_cell_length_b 5.2533
_cell_length_c 4.8065
_cell_angle_alpha 90.00
_cell_angle_beta 90.00
_cell_angle_gamma 120.00
loop_
_atom_site_label
_atom_site_type_symbol
_atom_site_fract_x
_atom_site_fract_y
_atom_site_fract_z
Li1 Li 0.0000 0.5000 0.0000
Li2 Li 0.3333 0.6667 0.5000
Mn1 Mn 0.0000 0.0000 0.5000
# **Density**: 1.3 Mg/m³
# **DFT total energy**: -2.75 eV per atom
# **Energy relative to the elements**: 2.2 eV per formula unit
# **Total magnetization**: 0.6971 μB/atom